Computed, not measured: SrLa2Os after structural relaxation at the PBEsol level of DFT.

Cell lengths 3.8901, 6.0317, 10.6407 Å; angles 90.00, 90.00, 90.00 degrees
Closest atoms and distances in Å follow each position.
Space group Immm (No. 71)
Inequivalent atoms, fractional coordinates:
Sr: 0.0000 0.0000 0.0000  8 La 3.58-3.91, 4 Os 3.59, 2 Sr 3.89
La: 0.0000 0.5000 0.1808  2 Os 2.74
Os: 0.0000 0.0000 0.5000  4 La 2.74

Calculated values
crystal system: orthorhombic
D(E_F): 6.5 states/eV/cell
uncorrected energy: -6.10 eV/atom